## Cs3CaMn2F9 (PBE with a Hubbard U)

Data for a relaxed Cs3CaMn2F9 crystal.

Unit cell a=6.2958 b=6.2958 c=7.7146 alpha=90.00 beta=90.00 gamma=120.00
Last column: nearest neighbours and their distance in Å.
Fractional coordinates of all 15 atoms:
1 Cs 0.3333 0.6667 0.6694  12 F 3.13-3.18
2 Cs 0.0000 0.0000 0.0000  12 F 3.14-3.15
3 Cs 0.6667 0.3333 0.3306  12 F 3.13-3.18
4 Ca 0.0000 0.0000 0.5000  6 F 2.30
5 Mn 0.3333 0.6667 0.1624  6 F 2.17-2.21
6 Mn 0.6667 0.3333 0.8376  6 F 2.17-2.21
7 F 0.8286 0.1714 0.6731  1 Mn 2.17, 1 Ca 2.30
8 F 0.8286 0.6571 0.6731  1 Mn 2.17, 1 Ca 2.30
9 F 0.3429 0.1714 0.6731  1 Mn 2.17, 1 Ca 2.30
10 F 0.6571 0.8286 0.3269  1 Mn 2.17, 1 Ca 2.30
11 F 0.1714 0.3429 0.3269  1 Mn 2.17, 1 Ca 2.30
12 F 0.1714 0.8286 0.3269  1 Mn 2.17, 1 Ca 2.30
13 F 0.5000 0.0000 0.0000  2 Mn 2.21
14 F 0.0000 0.5000 0.0000  2 Mn 2.21
15 F 0.5000 0.5000 0.0000  2 Mn 2.21

Total moment = 10.00 Bohr magnetons per cell
Space group = P-3m1, No. 164
Final energy = -5.414 eV per atom